RbGeN2F: relaxed, PBE.

a b c (Å): 4.665 4.665 4.826
angles (deg): 90.00 90.00 90.00
Space group P4/mmm (No. 123)
Unique sites:
Rb  0.000  0.000  0.000 [1 per cell]
Ge  0.500  0.500  0.500 [1 per cell]
N  0.000  0.500  0.000 [2 per cell]
F  0.000  0.000  0.500 [1 per cell]

calculated total energy	-15.04	eV for the cell shown
ΔE to the lowest computed polymorph	1838	meV per atom
ΔE_f (raw)	1.81	eV/atom